1.
Below is PmPuMgCd after structural relaxation, with properties calculated at the PBE-GGA level.

a b c (Å): 7.639 7.639 7.639
angles (deg): 90.00 90.00 90.00
Space group F-43m (No. 216)
Unique sites:
1 Pm 0.000 0.000 0.000 (multiplicity 4)
2 Pu 0.000 0.000 0.500 (multiplicity 4)
3 Mg 0.250 0.250 0.750 (multiplicity 4)
4 Cd 0.250 0.250 0.250 (multiplicity 4)

***

2.
Below is PmMgCdRh after structural relaxation, with properties calculated at the PBE-GGA level.

a b c (Å): 7.007 7.007 7.007
angles (deg): 90.00 90.00 90.00
Space group F-43m (No. 216)
Unique sites:
1 Pm 0.000 0.000 0.000 (multiplicity 4)
2 Mg 0.000 0.000 0.500 (multiplicity 4)
3 Cd 0.250 0.250 0.250 (multiplicity 4)
4 Rh 0.250 0.250 0.750 (multiplicity 4)

***

3.
Below is PmMgCdRh after structural relaxation, with properties calculated at the PBE-GGA level.

a b c (Å): 3.419 3.419 7.407
angles (deg): 90.00 90.00 90.00
Space group P4mm (No. 99)
Unique sites:
1 Pm 0.000 0.000 0.000 (multiplicity 1)
2 Mg 0.000 0.000 0.426 (multiplicity 1)
3 Cd 0.500 0.500 0.670 (multiplicity 1)
4 Rh 0.500 0.500 0.234 (multiplicity 1)

***

| no. | formation energy (eV/atom) |
| --- | --- |
| 1 | 0.00 |
| 2 | -0.35 |
| 3 | -0.41 |